# 1
# PBE MgCdIN2, optimized geometry
# formation energy (no corrections): 6.91 eV/f.u.
# offset from the most stable computed form: 0.294 eV/atom
# symmetry: No. 123
# crystal system: tetragonal
# final energy: -2.761 eV per atom
data_MgCdIN2
_cell_length_a 4.356
_cell_length_b 4.356
_cell_length_c 6.433
_cell_angle_alpha 90.00
_cell_angle_beta 90.00
_cell_angle_gamma 90.00
_symmetry_space_group_name_H-M 'P 1'
_symmetry_Int_Tables_number 1
loop_
_symmetry_equiv_pos_as_xyz
'x,y,z'
loop_
_atom_site_label
_atom_site_fract_x
_atom_site_fract_y
_atom_site_fract_z
N1 0.500 0.000 0.000
N2 0.000 0.500 0.000
I1 0.000 0.000 0.500
Mg1 0.500 0.500 0.500
Cd1 0.000 0.000 0.000



# 2
# PBE MgCdI2N, optimized geometry
# formation energy (no corrections): 2.64 eV/f.u.
# offset from the most stable computed form: 0.300 eV/atom
# symmetry: No. 123
# crystal system: tetragonal
# final energy: -2.260 eV per atom
data_MgCdI2N
_cell_length_a 6.114
_cell_length_b 6.114
_cell_length_c 4.207
_cell_angle_alpha 90.00
_cell_angle_beta 90.00
_cell_angle_gamma 90.00
_symmetry_space_group_name_H-M 'P 1'
_symmetry_Int_Tables_number 1
loop_
_symmetry_equiv_pos_as_xyz
'x,y,z'
loop_
_atom_site_label
_atom_site_fract_x
_atom_site_fract_y
_atom_site_fract_z
N1 0.000 0.000 0.500
Mg1 0.500 0.500 0.500
I1 0.500 0.000 0.000
I2 0.000 0.500 0.000
Cd1 0.000 0.000 0.000



Q: What is the offset from the most stable computed form in the second record?
A: 0.300 eV/atom